# 1
A plane-wave DFT calculation with PBE was carried out for a relaxed RbNa2CdP crystal.

The structure in extended XYZ format:
```
5
Lattice="5.5798 0.0000 0.0000 0.0000 5.5798 0.0000 0.0000 0.0000 5.5199" Properties=species:S:1:pos:R:3 pbc="T T T"
Rb 0.0000 0.0000 0.0000
Na 0.0000 2.7899 2.7600
Na 2.7899 0.0000 2.7600
Cd 2.7899 2.7899 0.0000
P 2.7899 2.7899 2.7600
```

Computed properties:
Formation enthalpy at 0 K in eV/atom: -0.08
Symmetry: No. 123
Volume in Å³ per atom: 34.37
Magnetic moment in μB/f.u.: 0.1


# 2
A plane-wave DFT calculation with PBE was carried out for a relaxed Y3TiF crystal.

The structure in extended XYZ format:
```
5
Lattice="5.3955 0.0000 0.0000 0.0000 5.3955 0.0000 0.0000 0.0000 5.3955" Properties=species:S:1:pos:R:3 pbc="T T T"
Y 0.0000 0.0000 2.6977
Y 0.0000 2.6977 0.0000
Y 2.6977 0.0000 0.0000
Ti 0.0000 0.0000 0.0000
F 2.6977 2.6977 2.6977
```

Computed properties:
Energy above the lowest structure with this stoichiometry in meV/atom: 999
E_form (uncorrected) in meV/atom: 237
Symmetry: No. 221
Volume in Å³ per atom: 31.41
Magnetic moment in μB/f.u.: 0.0